Record 1
Computed, not measured: crystalline Hg2Bi2Te at its relaxed geometry at the GGA-PBE level of DFT.

Values from the calculation:
Formation energy (no corrections)   0.5 eV per formula unit
Relative energy among the computed polymorphs   0.000 eV/atom
Volume   30.54 Å³/atom

```
Hg2Bi2Te
1.0
8.430 0.000 0.000
0.000 8.430 0.000
0.000 0.000 4.298
Te Bi Hg
2 4 4
Direct
0.000 0.000 0.000 Te
0.500 0.500 0.000 Te
0.358 0.858 0.000 Bi
0.858 0.642 0.000 Bi
0.642 0.142 0.000 Bi
0.142 0.358 0.000 Bi
0.164 0.664 0.500 Hg
0.664 0.836 0.500 Hg
0.836 0.336 0.500 Hg
0.336 0.164 0.500 Hg
```

Record 2
Computed, not measured: crystalline KCuAs2Se at its relaxed geometry at the GGA-PBE level of DFT.

Values from the calculation:
Formation energy (no corrections)   0.6 eV per formula unit
Relative energy among the computed polymorphs   0.000 eV/atom
Volume   24.00 Å³/atom

```
KCuAs2Se
1.0
-1.747 -1.929 4.033
4.466 -0.553 1.670
-0.224 4.733 2.167
K As Cu Se
1 2 1 1
Direct
0.500 0.500 0.500 K
0.000 0.500 0.000 As
0.500 0.000 0.000 As
0.000 0.000 0.000 Cu
0.000 0.000 0.500 Se
```

Record 3
Computed, not measured: crystalline OsSI3 at its relaxed geometry at the GGA-PBE level of DFT.

Values from the calculation:
Formation energy (no corrections)   8.0 eV per formula unit
Relative energy among the computed polymorphs   0.609 eV/atom
Volume   33.54 Å³/atom

```
OsSI3
1.0
-0.090 -1.066 -5.410
5.513 0.090 -0.109
0.109 -5.410 1.065
I S Os
3 1 1
Direct
0.000 0.500 0.000 I
0.000 0.000 0.500 I
0.500 0.000 0.000 I
0.000 0.000 0.000 S
0.500 0.500 0.500 Os
```

Record 4
Computed, not measured: crystalline NaPmLu2 at its relaxed geometry at the GGA-PBE level of DFT.

Values from the calculation:
Energy relative to the elements   170 meV/atom
Volume   32.62 Å³/atom

```
NaPmLu2
1.0
3.555 0.000 0.000
0.000 3.555 0.000
0.000 0.000 10.326
Na Lu Pm
1 2 1
Direct
0.500 0.500 0.500 Na
0.000 0.000 0.770 Lu
0.000 0.000 0.230 Lu
0.500 0.500 0.000 Pm
```

Record 5
Computed, not measured: crystalline ScBe2Pd2 at its relaxed geometry at the GGA-PBE level of DFT.

Values from the calculation:
Energy relative to the elements   -445 meV/atom
Relative energy among the computed polymorphs   0.103 eV/atom
Volume   13.71 Å³/atom

```
ScBe2Pd2
1.0
-4.074 5.007 -2.815
-5.383 -2.121 4.015
0.788 1.756 1.984
Sc Be Pd
2 4 4
Direct
0.000 0.000 0.000 Sc
0.500 0.500 0.000 Sc
0.144 0.644 0.500 Be
0.644 0.856 0.500 Be
0.856 0.356 0.500 Be
0.356 0.144 0.500 Be
0.353 0.853 0.000 Pd
0.853 0.647 0.000 Pd
0.647 0.147 0.000 Pd
0.147 0.353 0.000 Pd
```

Record 6
Computed, not measured: crystalline ZrNiCl2 at its relaxed geometry at the GGA-PBE level of DFT.

Values from the calculation:
Formation energy (no corrections)   -0.9 eV per formula unit
Relative energy among the computed polymorphs   0.706 eV/atom
Volume   16.20 Å³/atom

```
ZrNiCl2
1.0
0.000 3.188 3.188
3.188 0.000 3.188
3.188 3.188 0.000
Ni Zr Cl
1 1 2
Direct
0.000 0.000 0.000 Ni
0.500 0.500 0.500 Zr
0.250 0.250 0.250 Cl
0.750 0.750 0.750 Cl
```

Record 7
Computed, not measured: crystalline BaIn2H at its relaxed geometry at the GGA-PBE level of DFT.

Values from the calculation:
Volume   29.82 Å³/atom

```
BaIn2H
1.0
0.000 3.907 3.907
3.907 0.000 3.907
3.907 3.907 0.000
H Ba In
1 1 2
Direct
0.000 0.000 0.000 H
0.500 0.500 0.500 Ba
0.250 0.250 0.250 In
0.750 0.750 0.750 In
```

Record 8
Computed, not measured: crystalline CaBI2 at its relaxed geometry at the GGA-PBE level of DFT.

Values from the calculation:
Formation energy (no corrections)   1.1 eV per formula unit
Relative energy among the computed polymorphs   0.000 eV/atom
Volume   28.73 Å³/atom

```
CaBI2
1.0
-2.445 -3.573 3.321
-2.554 1.756 4.491
-5.447 -0.174 0.285
I Ca B
2 1 1
Direct
0.250 0.250 0.250 I
0.750 0.750 0.750 I
0.500 0.500 0.500 Ca
0.000 0.000 0.000 B
```

Record 9
Computed, not measured: crystalline Zr2V2W at its relaxed geometry at the GGA-PBE level of DFT.

Values from the calculation:
Energy relative to the elements   552 meV/atom
Relative energy among the computed polymorphs   0.289 eV/atom
Volume   19.07 Å³/atom

```
Zr2V2W
1.0
-1.956 0.181 2.662
-2.641 -0.599 -1.900
-1.304 -8.761 1.692
W Zr V
1 2 2
Direct
0.000 0.000 0.000 W
0.404 0.404 0.191 Zr
0.596 0.596 0.809 Zr
0.750 0.250 0.500 V
0.250 0.750 0.500 V
```

Record 10
Computed, not measured: crystalline HfReI2N at its relaxed geometry at the GGA-PBE level of DFT.

Values from the calculation:
Formation energy (no corrections)   3.9 eV per formula unit
Relative energy among the computed polymorphs   0.000 eV/atom
Volume   23.11 Å³/atom

```
HfReI2N
1.0
5.554 0.000 0.000
0.000 5.554 0.000
0.000 0.000 3.746
I Re Hf N
2 1 1 1
Direct
0.000 0.500 0.000 I
0.500 0.000 0.000 I
0.000 0.000 0.000 Re
0.500 0.500 0.500 Hf
0.000 0.000 0.500 N
```

Record 11
Computed, not measured: crystalline Pm5TeAu2 at its relaxed geometry at the GGA-PBE level of DFT.

Values from the calculation:
Formation energy (no corrections)   -5.9 eV per formula unit
Volume   28.91 Å³/atom

```
Pm5TeAu2
1.0
7.584 0.000 -3.580
-1.690 7.393 -3.580
-0.472 -0.592 8.824
Pm Te Au
10 2 4
Direct
0.511 0.704 0.715 Pm
0.796 0.989 0.285 Pm
0.000 0.000 0.000 Pm
0.500 0.500 0.000 Pm
0.204 0.011 0.715 Pm
0.704 0.204 0.715 Pm
0.011 0.511 0.715 Pm
0.296 0.796 0.285 Pm
0.989 0.489 0.285 Pm
0.489 0.296 0.285 Pm
0.750 0.750 0.500 Te
0.250 0.250 0.500 Te
0.137 0.363 0.000 Au
0.637 0.137 0.000 Au
0.363 0.863 0.000 Au
0.863 0.637 0.000 Au
```

Record 12
Computed, not measured: crystalline YBPd5 at its relaxed geometry at the GGA-PBE level of DFT.

Values from the calculation:
Energy relative to the elements   -493 meV/atom
Volume   15.56 Å³/atom

```
YBPd5
1.0
-0.028 -1.612 3.579
-1.185 -3.409 -1.544
6.737 -1.964 -0.833
Y B Pd
1 1 5
Direct
0.000 0.000 0.500 Y
0.500 0.500 0.000 B
0.000 0.500 0.812 Pd
0.000 0.500 0.188 Pd
0.500 0.000 0.812 Pd
0.500 0.000 0.188 Pd
0.500 0.500 0.500 Pd
```

no.,DFT total energy (eV per atom)
1,-2.20
2,-3.48
3,-2.41
4,-3.61
5,-5.28
6,-4.72
7,-2.27
8,-2.66
9,-9.11
10,-5.99
11,-4.92
12,-6.08